[1]
# ErHfSc4

ErHfSc4 after structural relaxation (PBE-GGA, Alexandria).

```
data_ErHfSc4
_chemical_formula_sum 'Er1 Hf1 Sc4'
_cell_length_a 5.166
_cell_length_b 8.883
_cell_length_c 8.883
_cell_angle_alpha 21.51
_cell_angle_beta 90.00
_cell_angle_gamma 90.00
_space_group_name_H-M_alt 'P 1'
_space_group_IT_number 1
loop_
_space_group_symop_operation_xyz
'x,y,z'
loop_
_atom_site_label
_atom_site_type_symbol
_atom_site_fract_x
_atom_site_fract_y
_atom_site_fract_z
_atom_site_occupancy
Er1 Er 0.000 0.000 0.000 1
Hf1 Hf 0.500 0.223 0.223 1
Sc1 Sc 0.000 0.329 0.329 1
Sc2 Sc 0.000 0.671 0.671 1
Sc3 Sc 0.500 0.565 0.565 1
Sc4 Sc 0.500 0.883 0.883 1
```

- Symmetry: No. 38
- Energy above the lowest structure with this stoichiometry: 0.0 meV/atom

***

[2]
# ErHf2Sc4

ErHf2Sc4 after structural relaxation (PBE-GGA, Alexandria).

```
data_ErHf2Sc4
_chemical_formula_sum 'Er1 Hf2 Sc4'
_cell_length_a 18.494
_cell_length_b 18.494
_cell_length_c 18.494
_cell_angle_alpha 10.17
_cell_angle_beta 10.17
_cell_angle_gamma 10.17
_space_group_name_H-M_alt 'P 1'
_space_group_IT_number 1
loop_
_space_group_symop_operation_xyz
'x,y,z'
loop_
_atom_site_label
_atom_site_type_symbol
_atom_site_fract_x
_atom_site_fract_y
_atom_site_fract_z
_atom_site_occupancy
Er1 Er 0.000 0.000 0.000 1
Hf1 Hf 0.189 0.189 0.189 1
Hf2 Hf 0.811 0.811 0.811 1
Sc1 Sc 0.098 0.098 0.098 1
Sc2 Sc 0.383 0.383 0.383 1
Sc3 Sc 0.617 0.617 0.617 1
Sc4 Sc 0.902 0.902 0.902 1
```

- Symmetry: No. 166
- Total energy: -49.524 eV/cell

***

[3]
# ErHf2Sc9

ErHf2Sc9 after structural relaxation (PBE-GGA, Alexandria).

```
data_ErHf2Sc9
_chemical_formula_sum 'Er1 Hf2 Sc9'
_cell_length_a 10.289
_cell_length_b 10.289
_cell_length_c 3.225
_cell_angle_alpha 90.00
_cell_angle_beta 90.00
_cell_angle_gamma 120.00
_space_group_name_H-M_alt 'P 1'
_space_group_IT_number 1
loop_
_space_group_symop_operation_xyz
'x,y,z'
loop_
_atom_site_label
_atom_site_type_symbol
_atom_site_fract_x
_atom_site_fract_y
_atom_site_fract_z
_atom_site_occupancy
Er1 Er 0.000 0.000 0.000 1
Hf1 Hf 0.333 0.667 0.000 1
Hf2 Hf 0.667 0.333 0.000 1
Sc1 Sc 0.000 0.500 0.000 1
Sc2 Sc 0.181 0.363 0.500 1
Sc3 Sc 0.181 0.819 0.500 1
Sc4 Sc 0.363 0.181 0.500 1
Sc5 Sc 0.500 0.000 0.000 1
Sc6 Sc 0.500 0.500 0.000 1
Sc7 Sc 0.637 0.819 0.500 1
Sc8 Sc 0.819 0.181 0.500 1
Sc9 Sc 0.819 0.637 0.500 1
```

- Symmetry: No. 191
- Total energy: -81.089 eV/cell

***

[4]
# ErHfSc

ErHfSc after structural relaxation (PBE-GGA, Alexandria).

```
data_ErHfSc
_chemical_formula_sum 'Er1 Hf1 Sc1'
_cell_length_a 5.160
_cell_length_b 5.160
_cell_length_c 3.286
_cell_angle_alpha 90.00
_cell_angle_beta 90.00
_cell_angle_gamma 120.00
_space_group_name_H-M_alt 'P 1'
_space_group_IT_number 1
loop_
_space_group_symop_operation_xyz
'x,y,z'
loop_
_atom_site_label
_atom_site_type_symbol
_atom_site_fract_x
_atom_site_fract_y
_atom_site_fract_z
_atom_site_occupancy
Er1 Er 0.000 0.000 0.000 1
Hf1 Hf 0.667 0.333 0.500 1
Sc1 Sc 0.333 0.667 0.500 1
```

- Symmetry: No. 187
- Energy above the lowest structure with this stoichiometry: 109.1 meV/atom

***

[5]
# ErHfSc2

ErHfSc2 after structural relaxation (PBE-GGA, Alexandria).

```
data_ErHfSc2
_chemical_formula_sum 'Er1 Hf1 Sc2'
_cell_length_a 10.791
_cell_length_b 10.791
_cell_length_c 10.791
_cell_angle_alpha 17.60
_cell_angle_beta 17.60
_cell_angle_gamma 17.60
_space_group_name_H-M_alt 'P 1'
_space_group_IT_number 1
loop_
_space_group_symop_operation_xyz
'x,y,z'
loop_
_atom_site_label
_atom_site_type_symbol
_atom_site_fract_x
_atom_site_fract_y
_atom_site_fract_z
_atom_site_occupancy
Er1 Er 0.000 0.000 0.000 1
Hf1 Hf 0.165 0.165 0.165 1
Sc1 Sc 0.578 0.578 0.578 1
Sc2 Sc 0.754 0.754 0.754 1
```

- Symmetry: No. 160
- Energy above the lowest structure with this stoichiometry: 0.0 meV/atom

***

[6]
# ErHfSc4

ErHfSc4 after structural relaxation (PBE-GGA, Alexandria).

```
data_ErHfSc4
_chemical_formula_sum 'Er2 Hf2 Sc8'
_cell_length_a 7.792
_cell_length_b 7.792
_cell_length_c 5.977
_cell_angle_alpha 100.32
_cell_angle_beta 100.32
_cell_angle_gamma 116.09
_space_group_name_H-M_alt 'P 1'
_space_group_IT_number 1
loop_
_space_group_symop_operation_xyz
'x,y,z'
loop_
_atom_site_label
_atom_site_type_symbol
_atom_site_fract_x
_atom_site_fract_y
_atom_site_fract_z
_atom_site_occupancy
Er1 Er 0.087 0.913 0.750 1
Er2 Er 0.913 0.087 0.250 1
Hf1 Hf 0.498 0.502 0.250 1
Hf2 Hf 0.502 0.498 0.750 1
Sc1 Sc 0.085 0.340 0.875 1
Sc2 Sc 0.216 0.595 0.465 1
Sc3 Sc 0.340 0.085 0.375 1
Sc4 Sc 0.405 0.784 0.035 1
Sc5 Sc 0.595 0.216 0.965 1
Sc6 Sc 0.660 0.915 0.625 1
Sc7 Sc 0.784 0.405 0.535 1
Sc8 Sc 0.915 0.660 0.125 1
```

- Symmetry: No. 15
- Energy above the lowest structure with this stoichiometry: 121.2 meV/atom

***

[7]
# ErHf2Sc

ErHf2Sc after structural relaxation (PBE-GGA, Alexandria).

```
data_ErHf2Sc
_chemical_formula_sum 'Er1 Hf2 Sc1'
_cell_length_a 10.857
_cell_length_b 10.857
_cell_length_c 10.857
_cell_angle_alpha 17.12
_cell_angle_beta 17.12
_cell_angle_gamma 17.12
_space_group_name_H-M_alt 'P 1'
_space_group_IT_number 1
loop_
_space_group_symop_operation_xyz
'x,y,z'
loop_
_atom_site_label
_atom_site_type_symbol
_atom_site_fract_x
_atom_site_fract_y
_atom_site_fract_z
_atom_site_occupancy
Er1 Er 0.000 0.000 0.000 1
Hf1 Hf 0.248 0.248 0.248 1
Hf2 Hf 0.752 0.752 0.752 1
Sc1 Sc 0.500 0.500 0.500 1
```

- Symmetry: No. 166
- Energy above the lowest structure with this stoichiometry: 41.7 meV/atom

***

[8]
# ErHf6Sc12

ErHf6Sc12 after structural relaxation (PBE-GGA, Alexandria).

```
data_ErHf6Sc12
_chemical_formula_sum 'Er1 Hf6 Sc12'
_cell_length_a 8.021
_cell_length_b 8.021
_cell_length_c 8.021
_cell_angle_alpha 95.44
_cell_angle_beta 95.44
_cell_angle_gamma 95.44
_space_group_name_H-M_alt 'P 1'
_space_group_IT_number 1
loop_
_space_group_symop_operation_xyz
'x,y,z'
loop_
_atom_site_label
_atom_site_type_symbol
_atom_site_fract_x
_atom_site_fract_y
_atom_site_fract_z
_atom_site_occupancy
Er1 Er 0.000 0.000 0.000 1
Hf1 Hf 0.186 0.186 0.730 1
Hf2 Hf 0.186 0.730 0.186 1
Hf3 Hf 0.270 0.814 0.814 1
Hf4 Hf 0.730 0.186 0.186 1
Hf5 Hf 0.814 0.270 0.814 1
Hf6 Hf 0.814 0.814 0.270 1
Sc1 Sc 0.125 0.500 0.875 1
Sc2 Sc 0.125 0.875 0.500 1
Sc3 Sc 0.201 0.485 0.485 1
Sc4 Sc 0.485 0.201 0.485 1
Sc5 Sc 0.485 0.485 0.201 1
Sc6 Sc 0.500 0.125 0.875 1
Sc7 Sc 0.500 0.875 0.125 1
Sc8 Sc 0.515 0.515 0.799 1
Sc9 Sc 0.515 0.799 0.515 1
Sc10 Sc 0.799 0.515 0.515 1
Sc11 Sc 0.875 0.125 0.500 1
Sc12 Sc 0.875 0.500 0.125 1
```

- Symmetry: No. 166
- Energy above the lowest structure with this stoichiometry: 276.4 meV/atom

***

M_tot (Bohr magnetons per cell)
0.00, 0.00, 0.00, 0.04, 0.00, 0.00, 0.00, 0.00